# 1
# CdGe2 PBE-GGA relaxed
data_CdGe2
_chemical_formula_sum 'Cd3 Ge6'
_space_group_name_H-M_alt 'R -3 m'
_space_group_IT_number 166
_space_group_name_Hall '-R 3 2"'
_cell_length_a 3.6896
_cell_length_b 3.6896
_cell_length_c 16.8445
_cell_angle_alpha 90.00
_cell_angle_beta 90.00
_cell_angle_gamma 120.00
loop_
_atom_site_label
_atom_site_type_symbol
_atom_site_fract_x
_atom_site_fract_y
_atom_site_fract_z
Cd1 Cd 0.0000 0.0000 0.0000
Ge1 Ge 0.0000 0.0000 0.2095
# ΔE to the lowest computed polymorph: 0.0000 eV/atom
# Crystal system: trigonal

=====

# 2
# LiCd4Ge5HO15 PBE-GGA relaxed
data_LiCd4Ge5HO15
_chemical_formula_sum 'Li2 Cd8 Ge10 H2 O30'
_space_group_name_H-M_alt 'P -1'
_space_group_IT_number 2
_cell_length_a 7.055
_cell_length_b 7.933
_cell_length_c 12.255
_cell_angle_alpha 105.26
_cell_angle_beta 93.03
_cell_angle_gamma 94.22
loop_
_space_group_symop_operation_xyz
'x,y,z'
'-x,-y,-z'
loop_
_atom_site_label
_atom_site_type_symbol
_atom_site_fract_x
_atom_site_fract_y
_atom_site_fract_z
Li1 Li 0.171 0.363 0.402
Cd1 Cd 0.224 0.758 0.979
Cd2 Cd 0.315 0.966 0.263
Cd3 Cd 0.365 0.180 0.558
Cd4 Cd 0.443 0.401 0.850
Ge1 Ge 0.071 0.527 0.174
Ge2 Ge 0.143 0.723 0.443
Ge3 Ge 0.201 0.987 0.775
Ge4 Ge 0.279 0.181 0.042
Ge5 Ge 0.396 0.642 0.649
H1 H 0.025 0.090 0.394
O1 O 0.012 0.010 0.306
O2 O 0.064 0.205 0.495
O3 O 0.072 0.543 0.322
O4 O 0.103 0.295 0.124
O5 O 0.135 0.066 0.915
O6 O 0.149 0.469 0.895
O7 O 0.231 0.585 0.526
O8 O 0.247 0.678 0.151
O9 O 0.272 0.772 0.764
O10 O 0.318 0.887 0.437
O11 O 0.350 0.010 0.094
O12 O 0.378 0.117 0.732
O13 O 0.401 0.240 0.379
O14 O 0.450 0.449 0.679
O15 O 0.465 0.326 0.024
# Crystal system: triclinic
# E: -5.588 eV/atom

=====

no.,calculated volume (Å³ per cell)
1,199
2,658